w | Material: SrZnBr
Method: DFT, SCAN
State: PBEsol geometry

The structure in POSCAR format:
```
SrZnBr
1.0
3.865 0.039 0.001
-0.038 3.865 0.001
-1.913 -1.951 6.055
Br Sr Zn
1 1 1
Direct
0.030 0.030 0.059
0.660 0.660 0.319
0.311 0.311 0.622
```

Values from the calculation:
Volume (Å³/f.u.): 90.5
Symmetry: I4mm (107)


x | Material: SrZnBr
Method: DFT, SCAN
State: PBEsol geometry

The structure in POSCAR format:
```
SrZnBr
1.0
5.105 0.000 0.000
2.552 4.421 0.000
2.552 1.474 4.168
Br Sr Zn
1 1 1
Direct
0.000 0.000 0.000
0.500 0.500 0.500
0.250 0.250 0.250
```

Values from the calculation:
Volume (Å³/f.u.): 94.1
Symmetry: F-43m (216)


Which structure is the least stable? The one labeled x.


w | Material: SrZr2Br
Method: DFT, SCAN
State: PBEsol geometry

The structure in POSCAR format:
```
SrZr2Br
1.0
3.334 0.000 0.000
0.000 5.664 0.000
0.000 0.000 5.975
Sr Br Zr
1 1 2
Direct
0.500 0.000 0.500
0.500 0.500 0.500
0.000 0.766 0.000
0.000 0.234 0.000
```

Values from the calculation:
Volume (Å³/f.u.): 112.8
Symmetry: Pmmm (47)


x | Material: SrZr2Br
Method: DFT, SCAN
State: PBEsol geometry

The structure in POSCAR format:
```
SrZr2Br
1.0
-2.372 -0.058 2.307
0.003 -2.321 -2.359
6.130 -6.240 6.146
Sr Br Zr
1 1 2
Direct
0.500 0.500 0.000
0.500 0.500 0.500
0.000 0.000 0.287
0.000 0.000 0.713
```

Values from the calculation:
Volume (Å³/f.u.): 102.4
Symmetry: Cmmm (65)


Which structure is the least stable? The one labeled w.